A plane-wave DFT calculation with PBE was carried out for a geometry-optimized HoScSbO2 structure.

Results
Energy relative to the elements, uncorrected   -2627 meV/atom
Magnetic moment   0.00 μB per cell
Crystal system   tetragonal

Lattice parameters (Å, degrees): 3.744 3.744 12.985 90.00 90.00 90.00
Space group I4mm (No. 107)
Inequivalent atoms, fractional coordinates:
Ho1 0.000 0.000 0.000 [2 per cell]
Sc1 0.000 0.000 0.663 [2 per cell]
Sb1 0.000 0.000 0.331 [2 per cell]
O1 0.000 0.500 0.091 [4 per cell]

A plane-wave DFT calculation with PBE was carried out for a geometry-optimized Ho2ScSb2O2 structure.

Results
Energy relative to the elements, uncorrected   -1980 meV/atom
Magnetic moment   0.00 μB per cell
Crystal system   tetragonal

Lattice parameters (Å, degrees): 4.113 4.113 16.057 90.00 90.00 90.00
Space group I4/mmm (No. 139)
Inequivalent atoms, fractional coordinates:
Ho1 0.000 0.000 0.110 [4 per cell]
Sc1 0.000 0.000 0.500 [2 per cell]
Sb1 0.000 0.000 0.312 [4 per cell]
O1 0.000 0.500 0.000 [4 per cell]

A plane-wave DFT calculation with PBE was carried out for a geometry-optimized HoSbSe2O structure.

Results
Energy relative to the elements, uncorrected   -1661 meV/atom
Magnetic moment   0.00 μB per cell
Crystal system   tetragonal

Lattice parameters (Å, degrees): 3.964 3.964 14.627 90.00 90.00 90.00
Space group P4/nmm (No. 129, origin choice 2)
Inequivalent atoms, fractional coordinates:
Ho1 0.250 0.250 0.075 [2 per cell]
Sb1 0.250 0.250 0.641 [2 per cell]
Se1 0.250 0.250 0.392 [2 per cell]
Se2 0.250 0.250 0.818 [2 per cell]
O1 0.250 0.750 0.000 [2 per cell]

A plane-wave DFT calculation with PBE was carried out for a geometry-optimized HoSi2SbO8 structure.

Results
Energy relative to the elements, uncorrected   -2427 meV/atom
Magnetic moment   0.00 μB per cell
Crystal system   tetragonal

Lattice parameters (Å, degrees): 6.780 6.780 6.012 90.00 90.00 90.00
Space group I-4m2 (No. 119)
Inequivalent atoms, fractional coordinates:
Ho1 0.000 0.000 0.000 [2 per cell]
Si1 0.000 0.000 0.500 [2 per cell]
Si2 0.000 0.500 0.250 [2 per cell]
Sb1 0.000 0.500 0.750 [2 per cell]
O1 0.000 0.189 0.674 [8 per cell]
O2 0.000 0.326 0.060 [8 per cell]

Q: What is the energy relative to the elements, uncorrected in the third record?
A: -1661 meV/atom